# 1
Computed, not measured: an optimized crystal structure of PRu2Rh at the PBE-GGA level of DFT.

abc: 2.8251 2.8251 6.7535
angles: 90.00 90.00 90.00
Space group P4mm (No. 99)
Inequivalent atoms, fractional coordinates:
1 P 0.0000 0.0000 0.0000 [1 per cell]
2 Ru 0.0000 0.0000 0.5128 [1 per cell]
3 Ru 0.5000 0.5000 0.7885 [1 per cell]
4 Rh 0.5000 0.5000 0.2136 [1 per cell]

- total magnetization (Bohr magnetons per cell) = 0.75
- energy (eV/atom) = -7.916

=====

# 2
Computed, not measured: an optimized crystal structure of P2Ru2Rh at the PBE-GGA level of DFT.

abc: 6.8133 6.8133 2.8317
angles: 90.00 90.00 90.00
Space group P4/mbm (No. 127)
Inequivalent atoms, fractional coordinates:
1 P 0.1547 0.3453 0.0000 [4 per cell]
2 Ru 0.1446 0.6446 0.5000 [4 per cell]
3 Rh 0.0000 0.0000 0.0000 [2 per cell]

- total magnetization (Bohr magnetons per cell) = 0.00
- energy (eV/atom) = -7.654

=====

# 3
Computed, not measured: an optimized crystal structure of PRu3Rh at the PBE-GGA level of DFT.

abc: 4.6322 4.6322 4.6322
angles: 90.00 90.00 90.00
Space group Pm-3m (No. 221)
Inequivalent atoms, fractional coordinates:
1 P 0.0000 0.0000 0.0000 [1 per cell]
2 Ru 0.0000 0.5000 0.5000 [3 per cell]
3 Rh 0.5000 0.5000 0.5000 [1 per cell]

- relative energy among the computed polymorphs (kJ per mole of atoms) = 139.5
- total magnetization (Bohr magnetons per cell) = 0.00
- energy (eV/atom) = -6.071

=====

# 4
Computed, not measured: an optimized crystal structure of P2RuRh at the PBE-GGA level of DFT.

abc: 2.9034 5.1062 7.6308
angles: 90.00 90.00 90.00
Space group Immm (No. 71)
Inequivalent atoms, fractional coordinates:
1 P 0.0000 0.0000 0.2489 [4 per cell]
2 Ru 0.0000 0.5000 0.5000 [2 per cell]
3 Rh 0.0000 0.5000 0.0000 [2 per cell]

- relative energy among the computed polymorphs (kJ per mole of atoms) = 46.0
- total magnetization (Bohr magnetons per cell) = 0.00
- energy (eV/atom) = -6.776

=====

# 5
Computed, not measured: an optimized crystal structure of P2RuRh at the PBE-GGA level of DFT.

abc: 6.0665 6.0665 6.0665
angles: 90.00 90.00 90.00
Space group F-43m (No. 216)
Inequivalent atoms, fractional coordinates:
1 P 0.0000 0.0000 0.0000 [4 per cell]
2 P 0.2500 0.2500 0.2500 [4 per cell]
3 Ru 0.0000 0.0000 0.5000 [4 per cell]
4 Rh 0.2500 0.2500 0.7500 [4 per cell]

- relative energy among the computed polymorphs (kJ per mole of atoms) = 74.4
- total magnetization (Bohr magnetons per cell) = 0.00
- energy (eV/atom) = -6.481

=====

# 6
Computed, not measured: an optimized crystal structure of P2RuRh at the PBE-GGA level of DFT.

abc: 5.2420 5.2420 10.4041
angles: 90.00 90.00 90.00
Space group I-42d (No. 122)
Inequivalent atoms, fractional coordinates:
1 P 0.2463 0.2500 0.1250 [8 per cell]
2 Ru 0.0000 0.0000 0.0000 [4 per cell]
3 Rh 0.0000 0.0000 0.5000 [4 per cell]

- relative energy among the computed polymorphs (kJ per mole of atoms) = 2.0
- total magnetization (Bohr magnetons per cell) = 0.00
- energy (eV/atom) = -7.232

=====

# 7
Computed, not measured: an optimized crystal structure of PRu2Rh at the PBE-GGA level of DFT.

abc: 3.9595 3.9595 3.4665
angles: 90.00 90.00 90.00
Space group P4/mmm (No. 123)
Inequivalent atoms, fractional coordinates:
1 P 0.0000 0.0000 0.0000 [1 per cell]
2 Ru 0.0000 0.5000 0.5000 [2 per cell]
3 Rh 0.5000 0.5000 0.0000 [1 per cell]

- total magnetization (Bohr magnetons per cell) = 0.00
- energy (eV/atom) = -7.715

=====

# 8
Computed, not measured: an optimized crystal structure of PRu2Rh at the PBE-GGA level of DFT.

abc: 3.8055 3.8055 7.4187
angles: 90.00 90.00 90.00
Space group I-4m2 (No. 119)
Inequivalent atoms, fractional coordinates:
1 P 0.0000 0.0000 0.0000 [2 per cell]
2 Ru 0.0000 0.0000 0.5000 [2 per cell]
3 Ru 0.0000 0.5000 0.2500 [2 per cell]
4 Rh 0.0000 0.5000 0.7500 [2 per cell]

- total magnetization (Bohr magnetons per cell) = 0.00
- energy (eV/atom) = -7.831